Below is an optimized crystal structure of Na2PdW6S2N2O6, with properties calculated at the GGA+U level.

Properties
Total DFT energy (no corrections) (eV for the cell shown): -110.0

CIF file:
```
data_Na2PdW6S2N2O6
_symmetry_space_group_name_H-M 'P -1'
_symmetry_Int_Tables_number 2
_cell_length_a 5.869
_cell_length_b 6.977
_cell_length_c 8.703
_cell_angle_alpha 76.05
_cell_angle_beta 89.39
_cell_angle_gamma 80.87
loop_
_symmetry_equiv_pos_as_xyz
'x,y,z'
'-x,-y,-z'
loop_
_atom_site_label
_atom_site_fract_x
_atom_site_fract_y
_atom_site_fract_z
Na1 0.187 0.298 0.166
Pd1 0.500 0.000 0.000
W1 0.042 0.280 0.550
W2 0.317 0.500 0.649
W3 0.440 0.827 0.444
S1 0.275 0.765 0.099
N1 0.274 0.120 0.449
O1 0.077 0.731 0.013
O2 0.171 0.831 0.258
O3 0.419 0.553 0.164
```